Material: Ca3Fe2Ge3O12
Method: DFT, PBE with a Hubbard U
State: relaxed

## Properties
ρ (g/cm³): 4.39
DFT total energy (eV/atom): -6.698

The structure in POSCAR format:
```
Ca3Fe2Ge3O12
1.0
-6.238 6.238 6.238
6.238 -6.238 6.238
6.238 6.238 -6.238
Ca Fe Ge O
12 8 12 48
direct
0.125 0.250 0.375
0.125 0.375 0.750
0.250 0.375 0.125
0.250 0.875 0.625
0.375 0.125 0.250
0.375 0.750 0.125
0.625 0.250 0.875
0.625 0.875 0.750
0.750 0.125 0.375
0.750 0.625 0.875
0.875 0.625 0.250
0.875 0.750 0.625
0.000 0.000 0.000
0.000 0.000 0.500
0.000 0.500 0.000
0.000 0.500 0.500
0.500 0.000 0.000
0.500 0.000 0.500
0.500 0.500 0.000
0.500 0.500 0.500
0.125 0.750 0.875
0.125 0.875 0.250
0.250 0.125 0.875
0.250 0.625 0.375
0.375 0.250 0.625
0.375 0.625 0.750
0.625 0.375 0.250
0.625 0.750 0.375
0.750 0.375 0.625
0.750 0.875 0.125
0.875 0.125 0.750
0.875 0.250 0.125
0.017 0.203 0.119
0.017 0.314 0.899
0.084 0.703 0.686
0.084 0.881 0.399
0.101 0.619 0.416
0.101 0.983 0.686
0.119 0.017 0.203
0.119 0.601 0.916
0.186 0.203 0.584
0.186 0.483 0.601
0.203 0.119 0.017
0.203 0.584 0.186
0.297 0.314 0.916
0.297 0.483 0.381
0.314 0.899 0.017
0.314 0.916 0.297
0.381 0.297 0.483
0.381 0.584 0.899
0.399 0.084 0.881
0.399 0.814 0.517
0.416 0.101 0.619
0.416 0.814 0.797
0.483 0.381 0.297
0.483 0.601 0.186
0.517 0.399 0.814
0.517 0.619 0.703
0.584 0.186 0.203
0.584 0.899 0.381
0.601 0.186 0.483
0.601 0.916 0.119
0.619 0.416 0.101
0.619 0.703 0.517
0.686 0.084 0.703
0.686 0.101 0.983
0.703 0.517 0.619
0.703 0.686 0.084
0.797 0.416 0.814
0.797 0.881 0.983
0.814 0.517 0.399
0.814 0.797 0.416
0.881 0.399 0.084
0.881 0.983 0.797
0.899 0.017 0.314
0.899 0.381 0.584
0.916 0.119 0.601
0.916 0.297 0.314
0.983 0.686 0.101
0.983 0.797 0.881
```